(1)
Below is an optimized crystal structure of NdPuCuOs, with properties calculated at the PBE level.

Summary:
Space-group type = F-43m (216)
Raw total energy = -34.3 eV per cell
DFT formation energy = 0.0371 eV per atom

Cell: 4.929 4.929 4.929 Å, 60.00 60.00 60.00°
Site moments in Bohr magnetons follow the coordinates.
Positions (direct):
Nd 0.500 0.500 0.500  0.11
Os 0.750 0.750 0.750  -0.31
Cu 0.250 0.250 0.250  0.04
Pu 0.000 0.000 0.000  5.16


(2)
Below is an optimized crystal structure of TbNdCuOs, with properties calculated at the PBE level.

Summary:
Space-group type = F-43m (216)
Raw total energy = -25.3 eV per cell
DFT formation energy = -0.1429 eV per atom

Cell: 4.945 4.945 4.945 Å, 60.00 60.00 60.00°
Positions (direct):
Tb 0.000 0.000 0.000
Os 0.750 0.750 0.750
Cu 0.250 0.250 0.250
Nd 0.500 0.500 0.500


(3)
Below is an optimized crystal structure of NdTmCuOs, with properties calculated at the PBE level.

Summary:
Space-group type = F-43m (216)
Raw total energy = -25.3 eV per cell
DFT formation energy = -0.1726 eV per atom

Cell: 4.904 4.904 4.904 Å, 60.00 60.00 60.00°
Positions (direct):
Nd 0.250 0.250 0.250
Tm 0.750 0.750 0.750
Os 0.000 0.000 0.000
Cu 0.500 0.500 0.500


(4)
Below is an optimized crystal structure of NdYCuOs, with properties calculated at the PBE level.

Summary:
Space-group type = F-43m (216)
Raw total energy = -27.1 eV per cell
DFT formation energy = -0.1392 eV per atom

Cell: 4.943 4.943 4.943 Å, 60.00 60.00 60.00°
Positions (direct):
Y 0.750 0.750 0.750
Nd 0.250 0.250 0.250
Os 0.500 0.500 0.500
Cu 0.000 0.000 0.000


Question: Which value of DFT formation energy does entry 3 give?
Answer: -0.1726 eV per atom


Question: Which formula does entry 3 have?
Answer: NdTmCuOs